Entry 1:
The following is a DFT calculation (PBE with a Hubbard U) of crystalline BaCrO2F at its relaxed geometry.

**Symmetry**: P4/mmm
**Density**: 3.33 g/cm³
**Electronic total energy**: -25.38 eV per formula unit

Geometry as POSCAR:
```
BaCrO2F
1.0
4.922 0.000 0.000
0.000 4.922 0.000
0.000 0.000 4.945
F Ba O Cr
1 1 2 1
Direct
0.000 0.000 0.500 F
0.000 0.000 0.000 Ba
0.500 0.000 0.000 O
0.000 0.500 0.000 O
0.500 0.500 0.500 Cr
```

=====

Entry 2:
The following is a DFT calculation (PBE with a Hubbard U) of crystalline Rb2BaCr3F12 at its relaxed geometry.

**Symmetry**: R-3m
**Density**: 3.73 g/cm³
**Electronic total energy**: -102.02 eV per formula unit

Geometry as POSCAR:
```
Rb2BaCr3F12
1.0
7.448 -0.129 -0.092
3.566 6.540 -0.092
3.566 2.075 6.203
Cr F Rb Ba
3 12 2 1
Direct
0.000 0.000 0.500 Cr
0.000 0.500 0.000 Cr
0.500 0.000 0.000 Cr
0.126 0.126 0.571 F
0.901 0.273 0.273 F
0.126 0.571 0.126 F
0.429 0.874 0.874 F
0.874 0.429 0.874 F
0.273 0.901 0.273 F
0.571 0.126 0.126 F
0.727 0.099 0.727 F
0.727 0.727 0.099 F
0.273 0.273 0.901 F
0.099 0.727 0.727 F
0.874 0.874 0.429 F
0.618 0.618 0.618 Rb
0.382 0.382 0.382 Rb
0.000 0.000 0.000 Ba
```

=====

Entry 3:
The following is a DFT calculation (PBE with a Hubbard U) of crystalline RbBaCrF6 at its relaxed geometry.

**Symmetry**: Imma
**Density**: 3.76 g/cm³
**Electronic total energy**: -50.04 eV per formula unit

Geometry as POSCAR:
```
RbBaCrF6
1.0
-5.456 -2.075 -6.354
2.099 -7.370 0.606
-2.076 3.940 6.353
Ba Cr F Rb
2 2 12 2
Direct
0.500 0.000 0.500 Ba
0.000 0.000 0.500 Ba
0.500 0.500 0.000 Cr
0.500 0.000 0.000 Cr
0.559 0.809 0.118 F
0.886 0.136 0.771 F
0.114 0.864 0.229 F
0.528 0.412 0.742 F
0.441 0.191 0.882 F
0.528 0.830 0.742 F
0.214 0.412 0.742 F
0.214 0.830 0.742 F
0.472 0.170 0.258 F
0.472 0.588 0.258 F
0.786 0.588 0.258 F
0.786 0.170 0.258 F
0.840 0.590 0.679 Rb
0.160 0.410 0.321 Rb
```

=====

Entry 4:
The following is a DFT calculation (PBE with a Hubbard U) of crystalline Rb3BaCr2F9 at its relaxed geometry.

**Symmetry**: P-3m1
**Density**: 3.95 g/cm³
**Electronic total energy**: -78.89 eV per formula unit

Geometry as POSCAR:
```
Rb3BaCr2F9
1.0
-3.341 0.058 -5.278
-0.622 -4.725 4.039
-6.080 4.129 3.894
Cr F Rb Ba
2 9 3 1
Direct
0.333 0.667 0.147 Cr
0.667 0.333 0.853 Cr
0.650 0.825 0.294 F
0.175 0.825 0.294 F
0.350 0.175 0.706 F
0.825 0.650 0.706 F
0.825 0.175 0.706 F
0.500 0.000 0.000 F
0.500 0.500 0.000 F
0.175 0.350 0.294 F
0.000 0.500 0.000 F
0.000 0.000 0.000 Rb
0.667 0.333 0.276 Rb
0.333 0.667 0.724 Rb
0.000 0.000 0.500 Ba
```

=====

Entry 5:
The following is a DFT calculation (PBE with a Hubbard U) of crystalline Ba2CrSF at its relaxed geometry.

**Symmetry**: P4/mmm
**Density**: 3.46 g/cm³
**Electronic total energy**: -20.81 eV per formula unit

Geometry as POSCAR:
```
Ba2CrSF
1.0
6.065 0.000 0.000
0.000 4.927 0.000
0.000 0.000 6.065
Cr Ba S F
1 2 1 1
Direct
0.500 0.500 0.500 Cr
0.000 0.000 0.500 Ba
0.500 0.000 0.000 Ba
0.000 0.000 0.000 S
0.000 0.500 0.000 F
```

=====

Entry 6:
The following is a DFT calculation (PBE with a Hubbard U) of crystalline BaCr2SiF at its relaxed geometry.

**Symmetry**: P4/mmm
**Density**: 3.13 g/cm³
**Electronic total energy**: -26.09 eV per formula unit

Geometry as POSCAR:
```
BaCr2SiF
1.0
-3.584 3.125 0.408
-2.909 -2.624 -5.451
-2.378 -3.087 2.755
F Si Cr Ba
1 1 2 1
Direct
0.500 0.500 0.500 F
0.000 0.000 0.000 Si
0.500 0.000 0.000 Cr
0.000 0.000 0.500 Cr
0.000 0.500 0.000 Ba
```

=====

Entry 7:
The following is a DFT calculation (PBE with a Hubbard U) of crystalline BaTl2CrF8 at its relaxed geometry.

**Symmetry**: P2/m
**Density**: 5.64 g/cm³
**Electronic total energy**: -60.00 eV per formula unit

Geometry as POSCAR:
```
BaTl2CrF8
1.0
-4.369 -2.049 -1.377
2.965 -4.708 -1.919
-0.647 -3.161 6.753
F Cr Tl Ba
8 1 2 1
Direct
0.878 0.200 0.194 F
0.122 0.800 0.194 F
0.679 0.814 0.000 F
0.122 0.800 0.806 F
0.321 0.186 0.000 F
0.566 0.731 0.500 F
0.434 0.269 0.500 F
0.878 0.200 0.806 F
0.000 0.000 0.000 Cr
0.500 0.500 0.221 Tl
0.500 0.500 0.779 Tl
0.000 0.000 0.500 Ba
```

=====

Entry 8:
The following is a DFT calculation (PBE with a Hubbard U) of crystalline BaTl2Cr3F12 at its relaxed geometry.

**Symmetry**: R-3m
**Density**: 5.05 g/cm³
**Electronic total energy**: -100.75 eV per formula unit

Geometry as POSCAR:
```
BaTl2Cr3F12
1.0
-5.481 -2.482 -4.296
-2.180 -6.984 1.070
-6.581 -0.987 3.221
F Tl Cr Ba
12 2 3 1
Direct
0.131 0.131 0.566 F
0.733 0.733 0.093 F
0.907 0.267 0.267 F
0.869 0.434 0.869 F
0.566 0.131 0.131 F
0.131 0.566 0.131 F
0.733 0.093 0.733 F
0.267 0.267 0.907 F
0.869 0.869 0.434 F
0.434 0.869 0.869 F
0.267 0.907 0.267 F
0.093 0.733 0.733 F
0.375 0.375 0.375 Tl
0.625 0.625 0.625 Tl
0.500 0.000 0.000 Cr
0.000 0.000 0.500 Cr
0.000 0.500 0.000 Cr
0.000 0.000 0.000 Ba
```

=====

Entry 9:
The following is a DFT calculation (PBE with a Hubbard U) of crystalline BaTlCr2F at its relaxed geometry.

**Symmetry**: P4/mmm
**Density**: 5.84 g/cm³
**Electronic total energy**: -23.33 eV per formula unit

Geometry as POSCAR:
```
BaTlCr2F
1.0
5.047 0.000 0.000
0.000 5.187 0.000
0.000 0.000 5.047
Cr Tl F Ba
2 1 1 1
Direct
0.000 0.000 0.500 Cr
0.500 0.000 0.000 Cr
0.500 0.500 0.500 Tl
0.000 0.000 0.000 F
0.000 0.500 0.000 Ba
```

=====

Entry 10:
The following is a DFT calculation (PBE with a Hubbard U) of crystalline BaTl2CrF6 at its relaxed geometry.

**Symmetry**: Pmmn
**Density**: 5.66 g/cm³
**Electronic total energy**: -51.41 eV per formula unit

Geometry as POSCAR:
```
BaTl2CrF6
1.0
6.100 0.000 0.000
0.000 7.022 0.000
0.000 0.000 9.750
F Tl Ba Cr
12 4 2 2
Direct
0.761 0.587 0.000 F
0.000 0.818 0.250 F
0.000 0.818 0.750 F
0.239 0.587 0.000 F
0.743 0.009 0.500 F
0.243 0.991 0.000 F
0.261 0.413 0.500 F
0.257 0.009 0.500 F
0.500 0.182 0.250 F
0.757 0.991 0.000 F
0.739 0.413 0.500 F
0.500 0.182 0.750 F
0.500 0.820 0.791 Tl
0.000 0.180 0.709 Tl
0.000 0.180 0.291 Tl
0.500 0.820 0.209 Tl
0.500 0.301 0.000 Ba
0.000 0.699 0.500 Ba
0.500 0.213 0.500 Cr
0.000 0.787 0.000 Cr
```

=====

Entry 11:
The following is a DFT calculation (PBE with a Hubbard U) of crystalline BaTl3Cr2F9 at its relaxed geometry.

**Symmetry**: P-3m1
**Density**: 6.06 g/cm³
**Electronic total energy**: -77.07 eV per formula unit

Geometry as POSCAR:
```
BaTl3Cr2F9
1.0
6.217 0.000 0.000
-3.108 5.384 0.000
0.000 0.000 8.401
F Tl Cr Ba
9 3 2 1
Direct
0.000 0.500 0.000 F
0.827 0.173 0.713 F
0.173 0.827 0.287 F
0.653 0.827 0.287 F
0.173 0.347 0.287 F
0.500 0.500 0.000 F
0.500 0.000 0.000 F
0.347 0.173 0.713 F
0.827 0.653 0.713 F
0.333 0.667 0.739 Tl
0.000 0.000 0.000 Tl
0.667 0.333 0.261 Tl
0.333 0.667 0.149 Cr
0.667 0.333 0.851 Cr
0.000 0.000 0.500 Ba
```

=====

Entry 12:
The following is a DFT calculation (PBE with a Hubbard U) of crystalline BaVCrF6 at its relaxed geometry.

**Symmetry**: P-31c
**Density**: 3.81 g/cm³
**Electronic total energy**: -54.65 eV per formula unit

Geometry as POSCAR:
```
BaVCrF6
1.0
-3.638 1.556 -4.035
-1.612 -3.648 4.004
-3.428 8.509 6.374
F Cr V Ba
12 2 2 2
Direct
0.366 0.368 0.853 F
0.002 0.368 0.647 F
0.998 0.366 0.147 F
0.634 0.632 0.147 F
0.632 0.998 0.853 F
0.368 0.002 0.147 F
0.998 0.632 0.353 F
0.634 0.002 0.353 F
0.368 0.366 0.353 F
0.632 0.634 0.647 F
0.002 0.634 0.853 F
0.366 0.998 0.647 F
0.333 0.667 0.250 Cr
0.667 0.333 0.750 Cr
0.667 0.333 0.250 V
0.333 0.667 0.750 V
0.000 0.000 0.000 Ba
0.000 0.000 0.500 Ba
```

=====

Entry 13:
The following is a DFT calculation (PBE with a Hubbard U) of crystalline Ba2YCr2F11 at its relaxed geometry.

**Symmetry**: P3_2
**Density**: 4.45 g/cm³
**Electronic total energy**: -100.57 eV per formula unit

Geometry as POSCAR:
```
Ba2YCr2F11
1.0
-1.583 7.096 3.259
-2.101 -6.684 3.793
12.194 -0.211 6.382
F Ba Y Cr
33 6 3 6
Direct
0.005 0.988 0.722 F
0.024 0.521 0.010 F
0.343 0.320 0.863 F
0.284 0.914 0.808 F
0.497 0.976 0.343 F
0.960 0.293 0.663 F
0.680 0.022 0.530 F
0.876 0.572 0.698 F
0.737 0.416 0.511 F
0.819 0.783 0.556 F
0.707 0.667 0.330 F
0.012 0.017 0.389 F
0.122 0.725 0.427 F
0.696 0.124 0.032 F
0.629 0.716 0.141 F
0.275 0.397 0.094 F
0.603 0.878 0.760 F
0.428 0.304 0.365 F
0.479 0.503 0.677 F
0.850 0.737 0.880 F
0.465 0.730 0.948 F
0.886 0.150 0.214 F
0.217 0.036 0.223 F
0.265 0.535 0.281 F
0.964 0.181 0.890 F
0.086 0.371 0.475 F
0.679 0.263 0.844 F
0.270 0.735 0.615 F
0.584 0.321 0.178 F
0.978 0.657 0.197 F
0.333 0.040 0.996 F
0.263 0.114 0.547 F
0.983 0.995 0.055 F
0.822 0.373 0.331 Ba
0.346 0.807 0.130 Ba
0.551 0.178 0.664 Ba
0.461 0.654 0.464 Ba
0.193 0.539 0.797 Ba
0.627 0.449 0.997 Ba
0.899 0.882 0.225 Y
0.118 0.017 0.891 Y
0.983 0.101 0.558 Y
0.275 0.011 0.389 Cr
0.388 0.388 0.229 Cr
0.000 0.612 0.563 Cr
0.989 0.264 0.055 Cr
0.612 0.000 0.896 Cr
0.736 0.725 0.722 Cr
```

=====

Entry 14:
The following is a DFT calculation (PBE with a Hubbard U) of crystalline BaZnCrF6 at its relaxed geometry.

**Symmetry**: P-31c
**Density**: 4.07 g/cm³
**Electronic total energy**: -47.49 eV per formula unit

Geometry as POSCAR:
```
BaZnCrF6
1.0
-2.100 -3.963 3.307
5.412 1.294 0.293
-2.264 7.704 7.794
F Zn Cr Ba
12 2 2 2
Direct
0.008 0.631 0.853 F
0.369 0.377 0.853 F
0.623 0.631 0.647 F
0.377 0.008 0.147 F
0.992 0.369 0.147 F
0.631 0.008 0.353 F
0.008 0.377 0.647 F
0.377 0.369 0.353 F
0.623 0.992 0.853 F
0.631 0.623 0.147 F
0.992 0.623 0.353 F
0.369 0.992 0.647 F
0.333 0.667 0.750 Zn
0.667 0.333 0.250 Zn
0.333 0.667 0.250 Cr
0.667 0.333 0.750 Cr
0.000 0.000 0.500 Ba
0.000 0.000 0.000 Ba
```

=====

Entry 15:
The following is a DFT calculation (PBE with a Hubbard U) of crystalline BaZnCr2F8 at its relaxed geometry.

**Symmetry**: P-1
**Density**: 4.12 g/cm³
**Electronic total energy**: -66.70 eV per formula unit

Geometry as POSCAR:
```
BaZnCr2F8
1.0
4.621 0.139 0.019
0.192 5.114 -0.280
0.043 -0.358 7.860
Cr F Zn Ba
2 8 1 1
Direct
0.482 0.503 0.207 Cr
0.518 0.497 0.793 Cr
0.850 0.227 0.814 F
0.329 0.261 0.015 F
0.671 0.739 0.985 F
0.564 0.722 0.424 F
0.436 0.278 0.576 F
0.823 0.238 0.221 F
0.177 0.762 0.779 F
0.150 0.773 0.186 F
0.000 0.000 0.000 Zn
0.000 0.000 0.500 Ba
```

=====

Entry 16:
The following is a DFT calculation (PBE with a Hubbard U) of crystalline BaZnCrF7 at its relaxed geometry.

**Symmetry**: P2_1/c
**Density**: 4.64 g/cm³
**Electronic total energy**: -53.67 eV per formula unit

Geometry as POSCAR:
```
BaZnCrF7
1.0
-4.503 4.175 -7.980
-3.903 -4.130 0.042
-5.922 4.926 5.918
F Cr Zn Ba
28 4 4 4
Direct
0.776 0.974 0.754 F
0.794 0.524 0.252 F
0.550 0.361 0.131 F
0.706 0.524 0.752 F
0.945 0.107 0.377 F
0.450 0.639 0.869 F
0.690 0.737 0.998 F
0.456 0.388 0.624 F
0.950 0.361 0.631 F
0.310 0.263 0.002 F
0.190 0.263 0.502 F
0.206 0.476 0.748 F
0.544 0.612 0.376 F
0.724 0.974 0.254 F
0.044 0.388 0.124 F
0.957 0.888 0.133 F
0.445 0.893 0.123 F
0.050 0.639 0.369 F
0.055 0.893 0.623 F
0.294 0.476 0.248 F
0.956 0.612 0.876 F
0.043 0.112 0.867 F
0.457 0.112 0.367 F
0.810 0.737 0.498 F
0.224 0.026 0.246 F
0.276 0.026 0.746 F
0.543 0.888 0.633 F
0.555 0.107 0.877 F
0.887 0.804 0.312 Cr
0.387 0.196 0.188 Cr
0.113 0.196 0.688 Cr
0.613 0.804 0.812 Cr
0.601 0.695 0.188 Zn
0.899 0.695 0.688 Zn
0.101 0.305 0.312 Zn
0.399 0.305 0.812 Zn
0.322 0.740 0.499 Ba
0.822 0.260 0.001 Ba
0.678 0.260 0.501 Ba
0.178 0.740 0.999 Ba
```